Na4Ac3FeO8 (GGA+U, relaxed); crystal system = monoclinic; total energy = -6.1073 eV per atom
1.0
7.045 0.000 0.000
0.000 6.785 -0.128
-3.523 -3.460 5.811
O Na Ac Fe
8 4 3 1
direct
0.281 0.278 0.562
0.833 0.334 0.057
0.305 0.793 0.611
0.719 0.722 0.438
0.167 0.666 0.943
0.224 0.334 0.057
0.776 0.666 0.943
0.695 0.207 0.389
0.000 0.000 0.500
0.500 0.000 0.500
0.500 0.000 0.000
0.000 0.000 0.000
0.500 0.500 0.500
0.000 0.500 0.500
0.500 0.500 0.000
0.000 0.500 0.000